#P
Material: Y2Mg3Pd2
Method: DFT, PBE
State: optimized geometry

Calculated values
The magnetization comes out at 0.00 μB per formula unit.

```
Y2Mg3Pd2
1.0
-1.207 -1.332 3.964
5.142 -1.518 -1.334
-0.124 7.175 2.373
Mg Y Pd
3 2 2
Direct
0.500 0.000 0.000
0.366 0.733 0.559
0.634 0.267 0.441
0.142 0.284 0.787
0.858 0.716 0.213
0.851 0.702 0.803
0.149 0.298 0.197
```

#Q
Material: Y2Mg3Pd2
Method: DFT, PBE
State: optimized geometry

Calculated values
The magnetization comes out at 0.00 μB per formula unit.

```
Y2Mg3Pd2
1.0
-3.330 1.538 1.627
0.737 -5.303 1.573
4.142 3.039 5.605
Mg Y Pd
3 2 2
Direct
0.687 0.375 0.864
0.313 0.625 0.136
0.000 0.000 0.000
0.624 0.248 0.358
0.376 0.752 0.642
0.092 0.184 0.650
0.908 0.816 0.350
```

Last place for stability: #Q

#P
Material: Y3MgPd3
Method: DFT, PBE
State: optimized geometry

Calculated values
The magnetization comes out at 0.00 μB per formula unit.

```
Y3MgPd3
1.0
-4.048 -0.596 0.988
2.605 -4.884 -1.238
3.562 -1.560 13.647
Pd Mg Y
6 2 6
Direct
0.257 0.515 0.250
0.906 0.813 0.593
0.094 0.187 0.093
0.743 0.485 0.750
0.906 0.813 0.907
0.094 0.187 0.407
0.500 0.000 0.500
0.500 0.000 0.000
0.468 0.936 0.750
0.804 0.608 0.107
0.196 0.392 0.893
0.196 0.392 0.607
0.532 0.064 0.250
0.804 0.608 0.393
```

#Q
Material: Y3MgPd3
Method: DFT, PBE
State: optimized geometry

Calculated values
The magnetization comes out at 0.00 μB per formula unit.

```
Y3MgPd3
1.0
6.747 1.051 0.271
-2.065 6.509 0.271
-0.401 -0.648 6.994
Mg Pd Y
2 6 6
Direct
0.739 0.739 0.870
0.261 0.261 0.130
0.065 0.065 0.817
0.935 0.935 0.183
0.493 0.027 0.283
0.507 0.973 0.717
0.973 0.507 0.717
0.027 0.493 0.283
0.744 0.256 0.000
0.172 0.828 0.500
0.348 0.348 0.635
0.256 0.744 0.000
0.828 0.172 0.500
0.652 0.652 0.365
```

Last place for stability: #Q

#P
Material: MgZn2Pd2
Method: DFT, PBE
State: optimized geometry

Calculated values
The magnetization comes out at 0.00 μB per formula unit.

```
MgZn2Pd2
1.0
-1.469 3.025 2.289
-3.753 -1.514 -0.409
-1.897 -2.192 5.294
Zn Mg Pd
2 1 2
Direct
0.388 0.388 0.223
0.612 0.612 0.777
0.000 0.000 0.000
0.250 0.750 0.500
0.750 0.250 0.500
```

#Q
Material: MgZn2Pd2
Method: DFT, PBE
State: optimized geometry

Calculated values
The magnetization comes out at 0.00 μB per formula unit.

```
MgZn2Pd2
1.0
-1.709 -1.091 3.519
-1.804 -4.760 -0.009
5.142 -8.252 2.282
Pd Mg Zn
4 2 4
Direct
0.648 0.142 0.062
0.352 0.858 0.938
0.148 0.642 0.562
0.852 0.358 0.438
0.250 0.750 0.250
0.750 0.250 0.750
0.942 0.478 0.138
0.442 0.978 0.638
0.558 0.022 0.362
0.058 0.522 0.862
```

Last place for stability: #P